Computed, not measured: a geometry-optimized PaTl3Ni2O6 structure at the GGA+U level of DFT.

Unit cell a=5.666 b=5.666 c=6.808 alpha=97.92 beta=97.92 gamma=120.00
Site moments in Bohr magnetons follow the coordinates.
Sites, in units of the cell vectors:
Pa1 0.000 0.000 0.000  0.01
Tl1 0.171 0.829 0.500  0.01
Tl2 0.829 0.171 0.500  0.01
Tl3 0.500 0.500 0.500  0.01
Ni1 0.334 0.666 0.000  1.75
Ni2 0.666 0.334 0.000  1.75
O1 0.944 0.607 0.831  0.06
O2 0.719 0.719 0.167  0.06
O3 0.056 0.393 0.169  0.06
O4 0.607 0.944 0.831  0.06
O5 0.281 0.281 0.833  0.06
O6 0.393 0.056 0.169  0.06

Results
VASP energy = -5.81 eV/atom
SG = C2/m
total magnetization = 4.0 μB per cell